(1)
First-principles (PBE) data for KLi2RhO4 after structural relaxation, as listed in Alexandria.

Geometry as POSCAR:
```
KLi2RhO4
1.0
5.2781 0.8780 0.0000
-1.0345 5.2496 0.0000
-2.1218 -3.0638 3.8393
Li O Rh K
2 4 1 1
direct
0.7500 0.2500 0.5000
0.2500 0.7500 0.5000
0.3461 0.9602 0.0000
0.0398 0.0398 0.3859
0.9602 0.3461 0.0000
0.6539 0.6539 0.6141
0.0000 0.0000 0.0000
0.5000 0.5000 0.0000
```

Calculated values
Raw formation energy ... -1.21 eV/atom
Crystal system ... tetragonal
Uncorrected energy ... -5.2213 eV per atom
Magnetization ... 0.000 μB per atom
Space group ... I-42m, No. 121

=====

(2)
First-principles (PBE) data for ReAu after structural relaxation, as listed in Alexandria.

Geometry as POSCAR:
```
ReAu
1.0
-2.3316 2.9584 1.5565
-3.9136 -0.7343 0.8692
-1.2225 -0.1990 3.8829
Au Re
1 1
direct
0.0000 0.0000 0.0000
0.2500 0.2500 0.2500
```

Calculated values
Crystal system ... cubic
Uncorrected energy ... -5.7162 eV per atom
ΔE_f ... 2.15 eV per atom
Magnetization ... 0.000 μB per atom
DOS(E_F) ... 1.1898 states/eV per atom
Space group ... F-43m, No. 216

=====

(3)
First-principles (PBE) data for Ba6Na2IrPt after structural relaxation, as listed in Alexandria.

Geometry as POSCAR:
```
Ba6Na2IrPt
1.0
-4.7587 0.3082 7.4761
-4.4815 -7.2124 -2.5553
8.8606 -0.1910 0.3880
Ir Ba Pt Na
1 6 1 2
direct
0.4997 0.5002 0.9993
0.7466 0.2538 0.9996
0.7463 0.7468 0.4926
0.2533 0.2537 0.9998
0.2531 0.2536 0.5062
0.7464 0.7471 0.9997
0.2532 0.7470 0.9998
0.9997 0.0002 0.9993
0.7503 0.2509 0.5008
0.2504 0.7509 0.5008
```

Calculated values
Crystal system ... tetragonal
Uncorrected energy ... -3.1677 eV per atom
ΔE_f ... -0.26 eV per atom
Magnetization ... 0.000 μB per atom
DOS(E_F) ... 0.6347 states/eV per atom
Space group ... I4mm, No. 107

=====

Look up the magnetization of the third one.
0.000 μB per atom

=====

Which formula does entry 3 have?
Ba6Na2IrPt

=====

magnetization of number 1 (KLi2RhO4)?
0.000 μB per atom